Computed, not measured: crystalline EuTa2O6 at its relaxed geometry at the PBE level of DFT.

Unit cell a=5.5609 b=7.6986 c=11.2129 alpha=90.00 beta=90.00 gamma=90.00
Last column: nearest neighbours and their distance in Å.
Element x y z (fractional)
O  0.6414  0.2500  0.6265  2 Ta 1.99
O  0.1351  0.4487  0.2869  2 Ta 1.94-2.02
O  0.8586  0.2500  0.1265  2 Ta 1.99
O  0.0393  0.7500  0.1452  2 Ta 2.00
O  0.2238  0.0367  0.0234  2 Ta 1.99-2.13
O  0.6351  0.5513  0.2131  2 Ta 1.94-2.02
O  0.7762  0.9633  0.9766  2 Ta 1.99-2.13
O  0.3586  0.7500  0.3735  2 Ta 1.99
O  0.2762  0.0367  0.5234  2 Ta 1.99-2.13
O  0.1351  0.0513  0.2869  2 Ta 1.94-2.02
O  0.8649  0.9487  0.7131  2 Ta 1.94-2.02
O  0.2762  0.4633  0.5234  2 Ta 1.99-2.13
O  0.3649  0.4487  0.7869  2 Ta 1.94-2.02
O  0.7238  0.5367  0.4766  2 Ta 1.99-2.13
O  0.9607  0.2500  0.8548  2 Ta 2.00
O  0.7762  0.5367  0.9766  2 Ta 1.99-2.13
O  0.3649  0.0513  0.7869  2 Ta 1.94-2.02
O  0.4607  0.7500  0.6452  2 Ta 2.00
O  0.6351  0.9487  0.2131  2 Ta 1.94-2.02
O  0.1414  0.7500  0.8735  2 Ta 1.99
O  0.8649  0.5513  0.7131  2 Ta 1.94-2.02
O  0.2238  0.4633  0.0234  2 Ta 1.99-2.13
O  0.7238  0.9633  0.4766  2 Ta 1.99-2.13
O  0.5393  0.2500  0.3548  2 Ta 2.00
Ta  0.0400  0.9964  0.8587  6 O 1.94-2.13
Ta  0.5400  0.4964  0.6413  6 O 1.94-2.13
Ta  0.0400  0.5036  0.8587  6 O 1.94-2.13
Ta  0.4600  0.5036  0.3587  6 O 1.94-2.13
Ta  0.5400  0.0036  0.6413  6 O 1.94-2.13
Ta  0.9600  0.0036  0.1413  6 O 1.94-2.13
Ta  0.9600  0.4964  0.1413  6 O 1.94-2.13
Ta  0.4600  0.9964  0.3587  6 O 1.94-2.13
Eu  0.5437  0.2500  0.9577  8 O 2.53-2.65
Eu  0.0437  0.7500  0.5423  8 O 2.53-2.65
Eu  0.9563  0.2500  0.4577  8 O 2.53-2.65
Eu  0.4563  0.7500  0.0423  8 O 2.53-2.65

Output
Crystal system   orthorhombic
Electronic total energy   -10.091 eV per atom
Energy relative to the elements, uncorrected   -3.0100 eV per atom